A relaxed structure of MnAgO2, computed with GGA+U.

Calculated values
Magnetic moment ... 4.00 μB/f.u.
Calculated total energy ... -5.459 eV/atom

a = 5.6799 Å, b = 5.6799 Å, c = 5.6799 Å
α = 90.00°, β = 90.00°, γ = 90.00°
Last column: nearest neighbours and their distance in Å.
Space group Fm-3m (No. 225)
Symmetry-distinct sites (fractional):
Mn  0.0000  0.0000  0.0000  8 O 2.46
Ag  0.0000  0.0000  0.5000  8 O 2.46
O  0.2500  0.2500  0.2500  4 Mn 2.46, 4 Ag 2.46